1.
A crystal of K2MgBe relaxed with PBEsol. Source: Alexandria, functional SCAN.

Results
Crystal system: cubic
Polymorph energy (0 for the lowest one) (meV/atom): 274
DOS at the Fermi energy (states/eV/cell): 3.4
Calculated formation energy (eV per formula unit): 3.028
Uncorrected energy (eV/atom): -5.739

Cell lengths 5.8657, 5.8657, 5.8657 Å; angles 60.00, 60.00, 60.00 degrees
With the nearest neighbours (Å) after each atom.
Atoms (fractional coordinates):
K (0.7500, 0.7500, 0.7500)  4 Mg 3.59, 4 Be 3.59
Be (0.0000, 0.0000, 0.0000)  8 K 3.59
Mg (0.5000, 0.5000, 0.5000)  8 K 3.59
K (0.2500, 0.2500, 0.2500)  4 Mg 3.59, 4 Be 3.59



2.
A crystal of TePb8 relaxed with PBEsol. Source: Alexandria, functional SCAN.

Results
Crystal system: tetragonal
DOS at the Fermi energy (states/eV/cell): 4.6
Uncorrected energy (eV/atom): -71.481

Cell lengths 5.0225, 7.7049, 7.7049 Å; angles 83.90, 70.98, 70.98 degrees
With the nearest neighbours (Å) after each atom.
Atoms (fractional coordinates):
Pb (0.6681, 0.6638, 0.0000)  10 Pb 3.42-3.49, 2 Te 3.51
Pb (0.0000, 0.3331, 0.6669)  11 Pb 3.42-3.50, 1 Te 3.43
Pb (0.6669, 0.3331, 0.3331)  11 Pb 3.42-3.50, 1 Te 3.43
Pb (0.3319, 0.0000, 0.3362)  10 Pb 3.42-3.49, 2 Te 3.51
Pb (0.0000, 0.6669, 0.3331)  11 Pb 3.42-3.50, 1 Te 3.43
Te (0.0000, 0.0000, 0.0000)  12 Pb 3.43-3.51
Pb (0.3331, 0.6669, 0.6669)  11 Pb 3.42-3.50, 1 Te 3.43
Pb (0.3319, 0.3362, 0.0000)  10 Pb 3.42-3.49, 2 Te 3.51
Pb (0.6681, 0.0000, 0.6638)  10 Pb 3.42-3.49, 2 Te 3.51